Computed, not measured: an optimized crystal structure of Pr2NbCu at the GGA-PBE level of DFT.

Structure (CIF):
```
data_Pr2NbCu
_chemical_formula_sum 'Pr2 Nb1 Cu1'
_cell_length_a 3.255
_cell_length_b 3.255
_cell_length_c 11.047
_cell_angle_alpha 81.53
_cell_angle_beta 81.53
_cell_angle_gamma 60.00
_symmetry_space_group_name_H-M 'P 1'
_symmetry_Int_Tables_number 1
loop_
_symmetry_equiv_pos_as_xyz
'x,y,z'
loop_
_atom_site_label
_atom_site_fract_x
_atom_site_fract_y
_atom_site_fract_z
Cu1 0.500 0.500 0.500
Pr1 0.093 0.093 0.721
Pr2 0.907 0.907 0.279
Nb1 0.000 0.000 0.000
```

Values from the calculation:
total DFT energy (no corrections)	-21.1	eV for the cell shown
ΔE_f	0.664	eV/atom